[1]
Entry from Alexandria: a relaxed ReAgPbW2 crystal (PBE-GGA).

a = 4.863 Å, b = 4.884 Å, c = 4.863 Å
α = 90.00°, β = 90.00°, γ = 90.00°
Each line ends with the local moment (μB).
Fractional positions:
Pb 0.000 0.500 0.000  0.01
Re 0.500 0.500 0.500  1.77
Ag 0.000 0.000 0.000  0.03
W 0.000 0.000 0.500  0.33
W 0.500 0.000 0.000  0.62

Properties
ΔE_f   3.06 eV/atom
Volume   115.5 Å³/f.u.
Total DFT energy (no corrections)   -5.924 eV per atom
Theoretical density   12.5 g/cm3

=====

[2]
Entry from Alexandria: a relaxed Zn2ReAgPb crystal (PBE-GGA).

a = 4.784 Å, b = 5.500 Å, c = 4.784 Å
α = 90.00°, β = 90.00°, γ = 90.00°
Each line ends with the local moment (μB).
Fractional positions:
Pb 0.000 0.500 0.000  -0.08
Re 0.500 0.500 0.500  3.26
Zn 0.000 0.000 0.500  -0.01
Zn 0.500 0.000 0.000  0.01
Ag 0.000 0.000 0.000  0.00

Properties
ΔE_f   1.40 eV/atom
Volume   125.9 Å³/f.u.
Total DFT energy (no corrections)   -2.910 eV per atom
Theoretical density   8.3 g/cm3